# 1
# GGA-PBEsol Mg2CrSb, relaxed
# E above lowest polymorph: 0 meV per atom
# Fermi-level density of states: 0.356 states/eV per atom
# Size of the total moment: 3.96 μB/cell
# SG: P4/mmm (123)
data_Mg2CrSb
_cell_length_a 4.2710
_cell_length_b 4.2710
_cell_length_c 4.2980
_cell_angle_alpha 90.00
_cell_angle_beta 90.00
_cell_angle_gamma 90.00
_space_group_name_H-M_alt 'P 1'
_space_group_IT_number 1
_space_group_name_Hall 'P 1'
loop_
_atom_site_label
_atom_site_type_symbol
_atom_site_fract_x
_atom_site_fract_y
_atom_site_fract_z
Mg1 Mg 0.0000 0.5000 0.0000
Mg2 Mg 0.5000 0.0000 0.0000
Cr1 Cr 0.0000 0.0000 0.5000
Sb1 Sb 0.5000 0.5000 0.5000

---

# 2
# GGA-PBEsol Mg2CrSb, relaxed
# E above lowest polymorph: 86 meV per atom
# Fermi-level density of states: 0.536 states/eV per atom
# Size of the total moment: 2.97 μB/cell
# SG: P4mm (99)
data_Mg2CrSb
_cell_length_a 3.6280
_cell_length_b 3.6280
_cell_length_c 6.0420
_cell_angle_alpha 90.00
_cell_angle_beta 90.00
_cell_angle_gamma 90.00
_space_group_name_H-M_alt 'P 1'
_space_group_IT_number 1
_space_group_name_Hall 'P 1'
loop_
_atom_site_label
_atom_site_type_symbol
_atom_site_fract_x
_atom_site_fract_y
_atom_site_fract_z
Mg1 Mg 0.0000 0.0000 0.0000
Mg2 Mg 0.5000 0.5000 0.2577
Cr1 Cr 0.5000 0.5000 0.7399
Sb1 Sb 0.0000 0.0000 0.5381

---

# 3
# GGA-PBEsol Mg2CrSb, relaxed
# E above lowest polymorph: 63 meV per atom
# Fermi-level density of states: 0.648 states/eV per atom
# Size of the total moment: 3.34 μB/cell
# SG: I-4m2 (119)
data_Mg2CrSb
_cell_length_a 5.3059
_cell_length_b 5.3059
_cell_length_c 5.3059
_cell_angle_alpha 133.32
_cell_angle_beta 133.32
_cell_angle_gamma 68.15
_space_group_name_H-M_alt 'P 1'
_space_group_IT_number 1
_space_group_name_Hall 'P 1'
loop_
_atom_site_label
_atom_site_type_symbol
_atom_site_fract_x
_atom_site_fract_y
_atom_site_fract_z
Mg1 Mg 0.0000 0.0000 0.0000
Mg2 Mg 0.7500 0.2500 0.5000
Cr1 Cr 0.5000 0.5000 0.0000
Sb1 Sb 0.2500 0.7500 0.5000

---

# 4
# GGA-PBEsol MgScCr2, relaxed
# Fermi-level density of states: 0.716 states/eV per atom
# VASP energy: -27.28 eV for the cell shown
# Size of the total moment: 0.46 μB/cell
# SG: F-43m (216)
data_MgScCr2
_cell_length_a 4.5345
_cell_length_b 4.5345
_cell_length_c 4.5345
_cell_angle_alpha 60.00
_cell_angle_beta 60.00
_cell_angle_gamma 60.00
_space_group_name_H-M_alt 'P 1'
_space_group_IT_number 1
_space_group_name_Hall 'P 1'
loop_
_atom_site_label
_atom_site_type_symbol
_atom_site_fract_x
_atom_site_fract_y
_atom_site_fract_z
Mg1 Mg 0.0000 0.0000 0.0000
Sc1 Sc 0.2500 0.2500 0.2500
Cr1 Cr 0.5000 0.5000 0.5000
Cr2 Cr 0.7500 0.7500 0.7500